First-principles (PBE with a Hubbard U) data for ZrTcMoF after structural relaxation, as listed in the Alexandria database.

Cell: 2.872 3.060 8.371 Å, 84.39 89.50 62.08°
Space group P1 (No. 1)
Unique sites:
Zr 0.000 0.000 0.000 [1 per cell]
Tc 0.448 0.580 0.720 [1 per cell]
Mo 0.373 0.184 0.480 [1 per cell]
F 0.339 0.283 0.190 [1 per cell]

Properties
**Relative energy among the computed polymorphs**: 0.175 eV/atom
**Crystal system**: triclinic
**VASP energy**: -7.3348 eV per atom